WBrO3, optimized geometry, DFT PBE+U; calculated total energy = -28.246 eV per cell; symmetry = Pm-3m
1.0
3.980 0.000 0.000
0.000 3.980 0.000
0.000 0.000 3.980
W Br O
1 1 3
Direct
0.000 0.000 0.000
0.500 0.500 0.500
0.000 0.000 0.500
0.000 0.500 0.000
0.500 0.000 0.000